First-principles (PBEsol) data for crystalline LiAg2 at its relaxed geometry, as listed in Alexandria via LeMat-Bulk.

ΔE to the lowest computed polymorph = 42 meV per atom
magnetization = 0.00 μB per cell
formation energy = -0.12 eV per atom
ρ = 7.825 Mg/m³

a b c (Å): 2.845 2.845 11.677
angles (deg): 90.00 90.00 90.00
Space group I4/mmm (No. 139)
One atom of each set of equivalent atoms:
Li: 0.000 0.000 0.000
Ag: 0.000 0.000 0.338